# NdU2N4

Crystalline NdU2N4 at its relaxed geometry (PBE-GGA, Alexandria).

density of states at the Fermi level: 6.2 states/eV/f.u.
symmetry: Cmcm
total magnetization: 2.5 μB per formula unit
E_form (uncorrected): -1.37 eV/atom

a = 5.9610 Å, b = 5.9610 Å, c = 10.6830 Å
α = 90.00°, β = 90.00°, γ = 146.34°
Atoms (fractional coordinates):
Nd 0.1078 0.8922 0.7500
Nd 0.8922 0.1078 0.2500
U 0.3690 0.6310 0.5693
U 0.3690 0.6310 0.9307
U 0.6310 0.3690 0.0693
U 0.6310 0.3690 0.4307
N 0.0000 0.0000 0.0000
N 0.0000 0.0000 0.5000
N 0.2694 0.7306 0.1034
N 0.2694 0.7306 0.3966
N 0.4549 0.5451 0.7500
N 0.5451 0.4549 0.2500
N 0.7306 0.2694 0.6034
N 0.7306 0.2694 0.8966